DFT (PBE) results for a relaxed Np2S crystal.

Cell: 3.3973 3.3973 5.1101 Å, 109.42 109.42 90.00°
With the nearest neighbours (Å) after each atom.
Positions (direct):
Np 0.6962 0.6962 0.3924  4 Np 2.59, 1 S 2.74
Np 0.3038 0.3038 0.6076  4 Np 2.59, 1 S 2.74
S 0.0000 0.0000 0.0000  10 Np 2.74-2.98

## Properties
* formation energy from raw total energies: -0.394 eV per atom
* final energy: -10.397 eV/atom
* magnetization: 0.00 μB per formula unit